NaNpAg2Br8 | the Alexandria database | PBE | relaxed; SG = I-4m2 (119); formation energy from raw total energies = -0.79 eV per atom
1.0
-0.140 -5.573 -5.901
6.061 5.271 -1.175
1.118 -3.741 7.117
Na Np Ag Br
1 1 2 8
direct
0.000 0.000 0.000 Na
0.250 0.750 0.500 Np
0.750 0.250 0.500 Ag
0.500 0.500 0.000 Ag
0.346 0.026 0.320 Br
0.310 0.520 0.209 Br
0.310 0.101 0.791 Br
0.705 0.026 0.680 Br
0.899 0.690 0.209 Br
0.974 0.295 0.320 Br
0.974 0.654 0.680 Br
0.480 0.690 0.791 Br

***

ReIBr6 | the Alexandria database | PBE | relaxed; SG = P-1 (2); formation energy from raw total energies = 0.01 eV per atom
1.0
-0.859 -8.531 -0.253
6.042 -1.684 1.723
-5.165 -0.605 3.904
Re I Br
1 1 6
direct
0.000 0.000 0.000 Re
0.000 0.500 0.500 I
0.333 0.347 0.348 Br
0.789 0.246 0.947 Br
0.789 0.947 0.246 Br
0.211 0.754 0.053 Br
0.667 0.653 0.652 Br
0.211 0.053 0.754 Br

***

Ce6CoSb3 | the Alexandria database | PBE | relaxed; SG = Cmc2_1 (36); formation energy from raw total energies = -0.42 eV per atom
1.0
7.381 0.000 0.000
0.000 9.363 -0.353
0.000 -2.433 9.048
Ce Co Sb
12 2 6
direct
0.202 0.647 0.601 Ce
0.702 0.601 0.647 Ce
0.143 0.399 0.942 Ce
0.643 0.942 0.399 Ce
0.227 0.015 0.985 Ce
0.705 0.218 0.782 Ce
0.205 0.782 0.218 Ce
0.727 0.985 0.015 Ce
0.143 0.058 0.601 Ce
0.643 0.601 0.058 Ce
0.202 0.399 0.353 Ce
0.702 0.353 0.399 Ce
0.993 0.128 0.872 Co
0.493 0.872 0.128 Co
0.490 0.908 0.703 Sb
0.990 0.703 0.908 Sb
0.390 0.354 0.646 Sb
0.890 0.646 0.354 Sb
0.990 0.092 0.297 Sb
0.490 0.297 0.092 Sb

***

LiMg3Tl4 | the Alexandria database | PBE | relaxed; SG = P4/mmm (123); E above lowest polymorph = 0.000 eV per atom; energy of formation from the pure elements = -0.71 eV per formula unit
1.0
3.658 0.000 0.000
0.000 3.658 0.000
0.000 0.000 14.310
Mg Tl Li
3 4 1
direct
0.500 0.500 0.244 Mg
0.500 0.500 0.500 Mg
0.500 0.500 0.756 Mg
0.000 0.000 0.882 Tl
0.000 0.000 0.118 Tl
0.000 0.000 0.373 Tl
0.000 0.000 0.627 Tl
0.500 0.500 0.000 Li

***

| no. | volume (Å³ per cell) | magnetization (μB per formula unit) | calculated total energy (eV per atom) |
| --- | --- | --- | --- |
| 1 | 411.7 | 2.23 | -3.570 |
| 2 | 285.0 | 1.66 | -2.991 |
| 3 | 619.0 | 6.39 | -5.931 |
| 4 | 191.5 | 0.00 | -2.110 |